Record 1
GGA-PBE CdTePtN2, relaxed; energy above the lowest structure with this stoichiometry = 73.00 kJ per mole of atoms; uncorrected energy = -3.527 eV per atom; M_tot = 3.75 μB/cell; formation energy (no corrections) = 175.9 kJ per mole of atoms; symmetry = P4/mmm (123); calculated volume = 108.6 Å³ per cell
1.0
-0.213 0.919 4.006
2.784 -2.919 0.818
4.710 4.287 -0.732
N Te Pt Cd
2 1 1 1
Cartesian
1.392 -1.460 0.409 N
-0.107 0.460 2.003 N
2.355 2.143 -0.366 Te
3.640 1.143 2.046 Pt
0.000 0.000 0.000 Cd

---

Record 2
GGA-PBE Sr6Sb3H2, relaxed; uncorrected energy = -3.500 eV per atom; M_tot = 0.00 μB/cell; symmetry = I4/mmm (139); calculated volume = 343.5 Å³ per cell
1.0
-4.090 0.309 -3.045
2.564 -2.430 -3.690
-3.543 -10.491 7.982
Sr Sb H
6 3 2
Cartesian
0.578 -3.103 -1.091 Sr
-2.749 -1.734 -0.768 Sr
-5.648 -9.509 2.337 Sr
-2.321 -10.878 2.015 Sr
-2.491 -5.695 -1.516 Sr
-2.579 -6.917 2.763 Sr
0.000 0.000 0.000 Sb
-3.584 -8.628 -0.345 Sb
-1.485 -3.984 1.591 Sb
-3.448 -9.248 3.694 H
-1.622 -3.364 -2.447 H